This record from Alexandria via LeMat-Bulk describes a relaxed structure of YBiRh. The functional is PBE-GGA.

Results
Space-group type: P-6m2 (187)
E_form (meV/atom): -633
Total magnetization (μB per cell): 0.0

abc: 4.7204 4.7204 3.5665
angles: 90.00 90.00 120.00
With the nearest neighbours (Å) after each atom.
Element x y z (fractional)
Y 0.0000 0.0000 0.0000  6 Rh 3.26, 6 Bi 3.26, 2 Y 3.57
Bi 0.3333 0.6667 0.5000  3 Rh 2.73
Rh 0.6667 0.3333 0.5000  3 Bi 2.73

This record from Alexandria via LeMat-Bulk describes a relaxed structure of NaMg2In2. The functional is PBE-GGA.

Results
Space-group type: P4/mbm (127)
E_form (meV/atom): -84
Distance to the lowest polymorph of the same formula (meV/atom): 0
Total magnetization (μB per cell): 0.0

abc: 8.8442 8.8442 3.2676
angles: 90.00 90.00 90.00
With the nearest neighbours (Å) after each atom.
Element x y z (fractional)
Na 0.0000 0.0000 0.0000  2 Na 3.27, 4 Mg 3.49
Na 0.5000 0.5000 0.0000  2 Na 3.27, 4 Mg 3.49
Mg 0.1263 0.3737 0.0000  6 In 3.03-3.11, 3 Mg 3.16-3.27
Mg 0.3737 0.8737 0.0000  6 In 3.03-3.11, 3 Mg 3.16-3.27
Mg 0.6263 0.1263 0.0000  6 In 3.03-3.11, 3 Mg 3.16-3.27
Mg 0.8737 0.6263 0.0000  6 In 3.03-3.11, 3 Mg 3.16-3.27
In 0.1698 0.6698 0.5000  6 Mg 3.03-3.11, 2 In 3.27
In 0.3302 0.1698 0.5000  6 Mg 3.03-3.11, 2 In 3.27
In 0.6698 0.8302 0.5000  6 Mg 3.03-3.11, 2 In 3.27
In 0.8302 0.3302 0.5000  6 Mg 3.03-3.11, 2 In 3.27

This record from Alexandria via LeMat-Bulk describes a relaxed structure of Pr4SbN. The functional is PBE-GGA.

Results
Formation energy (no corrections) (eV per atom): -0.73
Space-group type: C2/c (15)
Total magnetization (μB per cell): 0.0

abc: 8.1244 8.1244 7.4850
angles: 105.86 105.86 45.08
With the nearest neighbours (Å) after each atom.
Element x y z (fractional)
Pr 0.0178 0.1781 0.4490  1 N 2.44
Pr 0.1781 0.0178 0.9490  1 N 2.44
Pr 0.2483 0.3735 0.8187  2 N 2.57-2.68
Pr 0.3735 0.2483 0.3187  2 N 2.57-2.68
Pr 0.6265 0.7517 0.6813  2 N 2.57-2.68
Pr 0.7517 0.6265 0.1813  2 N 2.57-2.68
Pr 0.8219 0.9822 0.0510  1 N 2.44
Pr 0.9822 0.8219 0.5510  1 N 2.44
Sb 0.3776 0.6224 0.2500  6 Pr 3.24-3.55
Sb 0.6224 0.3776 0.7500  6 Pr 3.24-3.55
N 0.0000 0.5000 0.5000  6 Pr 2.44-2.68
N 0.5000 0.0000 0.0000  6 Pr 2.44-2.68